The following is a GGA+U calculation of an optimized crystal structure of NaFe2O4, from Alexandria via LeMat-Bulk.

Computed properties:
D(E_F)   0.1 states/eV/cell
Polymorph energy (0 for the lowest one)   0.000 eV per atom
Total moment   1.29 μB per atom

a b c (Å): 3.0367 5.1263 5.8431
angles (deg): 73.70 89.97 88.55
With the nearest neighbours (Å) after each atom.
Space group P-1 (No. 2)
One atom of each set of equivalent atoms:
Na1 0.0000 0.0000 0.0000  6 O 2.41-2.49
Fe1 0.0000 0.5000 0.5000  6 O 2.03-2.08
Fe2 0.5000 0.0000 0.5000  6 O 1.91-2.13
O1 0.0392 0.2193 0.3145  3 Fe 1.91-2.13
O2 0.4961 0.7429 0.3143  3 Fe 1.93-2.08